No. 1
First-principles (GGA-PBE) data for a relaxed YSbSe crystal, as listed in the Alexandria database.

abc: 4.9181 4.9181 4.9181
angles: 60.00 60.00 60.00
Fractional positions:
Y (0.0000, 0.0000, 0.0000)
Sb (0.5000, 0.5000, 0.5000)
Se (0.2500, 0.2500, 0.2500)

Computed properties:
E_form (uncorrected) (eV/atom): -0.54
Energy (eV per atom): -5.228

No. 2
First-principles (GGA-PBE) data for a relaxed Ce3Sn13Ir4 crystal, as listed in the Alexandria database.

abc: 9.8034 9.8034 9.8034
angles: 90.00 90.00 90.00
Fractional positions:
Ce (0.0000, 0.2500, 0.5000)
Ce (0.0000, 0.7500, 0.5000)
Ce (0.2500, 0.5000, 0.0000)
Ce (0.5000, 0.0000, 0.2500)
Ce (0.5000, 0.0000, 0.7500)
Ce (0.7500, 0.5000, 0.0000)
Sn (0.0000, 0.0000, 0.0000)
Sn (0.0000, 0.3083, 0.1516)
Sn (0.0000, 0.3083, 0.8484)
Sn (0.0000, 0.6917, 0.1516)
Sn (0.0000, 0.6917, 0.8484)
Sn (0.1516, 0.0000, 0.3083)
Sn (0.1516, 0.0000, 0.6917)
Sn (0.1917, 0.5000, 0.3484)
Sn (0.1917, 0.5000, 0.6516)
Sn (0.3083, 0.1516, 0.0000)
Sn (0.3083, 0.8484, 0.0000)
Sn (0.3484, 0.1917, 0.5000)
Sn (0.3484, 0.8083, 0.5000)
Sn (0.5000, 0.3484, 0.1917)
Sn (0.5000, 0.3484, 0.8083)
Sn (0.5000, 0.5000, 0.5000)
Sn (0.5000, 0.6516, 0.1917)
Sn (0.5000, 0.6516, 0.8083)
Sn (0.6516, 0.1917, 0.5000)
Sn (0.6516, 0.8083, 0.5000)
Sn (0.6917, 0.1516, 0.0000)
Sn (0.6917, 0.8484, 0.0000)
Sn (0.8083, 0.5000, 0.3484)
Sn (0.8083, 0.5000, 0.6516)
Sn (0.8484, 0.0000, 0.3083)
Sn (0.8484, 0.0000, 0.6917)
Ir (0.2500, 0.2500, 0.2500)
Ir (0.2500, 0.2500, 0.7500)
Ir (0.2500, 0.7500, 0.2500)
Ir (0.2500, 0.7500, 0.7500)
Ir (0.7500, 0.2500, 0.2500)
Ir (0.7500, 0.2500, 0.7500)
Ir (0.7500, 0.7500, 0.2500)
Ir (0.7500, 0.7500, 0.7500)

Computed properties:
Energy (eV per atom): -5.757
ΔH_f (0 K) (kJ per mole of atoms): -47.52

No. 3
First-principles (GGA-PBE) data for a relaxed ReOsSe crystal, as listed in the Alexandria database.

abc: 5.6409 5.6409 5.6409
angles: 149.50 149.50 43.67
Fractional positions:
Re (0.0000, 0.0000, 0.0000)
Os (0.6541, 0.6541, 0.0000)
Se (0.3344, 0.3344, 0.0000)

Computed properties:
Polymorph energy (0 for the lowest one) (eV/atom): 0.0174
E_form (uncorrected) (eV/atom): 0.42
Energy (eV per atom): -8.633

No. 4
First-principles (GGA-PBE) data for a relaxed MgPH6CCl3 crystal, as listed in the Alexandria database.

abc: 6.3658 8.0953 14.9923
angles: 90.11 91.12 92.62
Fractional positions:
Mg (0.0000, 0.0000, 0.0000)
Mg (0.0248, 0.4745, 0.5065)
Mg (0.4994, 0.0013, 0.0009)
Mg (0.5290, 0.4752, 0.5061)
P (0.2276, 0.5293, 0.8896)
P (0.2466, 0.9987, 0.3903)
P (0.6326, 0.9977, 0.7132)
P (0.7526, 0.4150, 0.2268)
H (0.0433, 0.6190, 0.8941)
H (0.0682, 0.0930, 0.4022)
H (0.0958, 0.8226, 0.2758)
H (0.1078, 0.3317, 0.7789)
H (0.2303, 0.4169, 0.9619)
H (0.2362, 0.5107, 0.7301)
H (0.2382, 0.9979, 0.2303)
H (0.2535, 0.8798, 0.4594)
H (0.3772, 0.8283, 0.2753)
H (0.3887, 0.3579, 0.7843)
H (0.4034, 0.6406, 0.8999)
H (0.4277, 0.1049, 0.3999)
H (0.4883, 0.0883, 0.6623)
H (0.5274, 0.8499, 0.7386)
H (0.5786, 0.4497, 0.2796)
H (0.5968, 0.4816, 0.0869)
H (0.6866, 0.0884, 0.7919)
H (0.7446, 0.6565, 0.1340)
H (0.7506, 0.2425, 0.2108)
H (0.8111, 0.8778, 0.5918)
H (0.8777, 0.4908, 0.0830)
H (0.9321, 0.0735, 0.6267)
H (0.9376, 0.4600, 0.2760)
H (0.9703, 0.8908, 0.6919)
C (0.2388, 0.9026, 0.2823)
C (0.2407, 0.4220, 0.7854)
C (0.7422, 0.5223, 0.1226)
C (0.8590, 0.9559, 0.6494)
Cl (0.2392, 0.7822, 0.0572)
Cl (0.2466, 0.0085, 0.8686)
Cl (0.2641, 0.2028, 0.0742)
Cl (0.2677, 0.2548, 0.5623)
Cl (0.2708, 0.4804, 0.3739)
Cl (0.2935, 0.6776, 0.5765)
Cl (0.7363, 0.7979, 0.9239)
Cl (0.7541, 0.9827, 0.1296)
Cl (0.7610, 0.2159, 0.9384)
Cl (0.7622, 0.2640, 0.4301)
Cl (0.7797, 0.4535, 0.6337)
Cl (0.7877, 0.6850, 0.4410)

Computed properties:
Energy (eV per atom): -4.171

No. 5
First-principles (GGA-PBE) data for a relaxed FeAg2 crystal, as listed in the Alexandria database.

abc: 5.6658 5.6658 6.5208
angles: 104.21 104.21 28.66
Fractional positions:
Fe (0.0225, 0.0225, 0.3238)
Fe (0.9775, 0.9775, 0.6762)
Ag (0.3114, 0.3114, 0.3662)
Ag (0.3680, 0.3680, 0.9646)
Ag (0.6320, 0.6320, 0.0354)
Ag (0.6886, 0.6886, 0.6338)

Computed properties:
Energy (eV per atom): -4.399
ΔH_f (0 K) (kJ per mole of atoms): 31.15

No. 6
First-principles (GGA-PBE) data for a relaxed Ta2AuCl crystal, as listed in the Alexandria database.

abc: 2.9180 2.9180 9.3603
angles: 90.00 90.00 115.79
Fractional positions:
Ta (0.0000, 0.0000, 0.2425)
Ta (0.0000, 0.0000, 0.7575)
Au (0.5000, 0.5000, 0.5000)
Cl (0.5000, 0.5000, 0.0000)

Computed properties:
Polymorph energy (0 for the lowest one) (eV/atom): 0.4517
E_form (uncorrected) (eV/atom): 0.30
Energy (eV per atom): -6.903

No. 7
First-principles (GGA-PBE) data for a relaxed TlCuW2 crystal, as listed in the Alexandria database.

abc: 4.5760 4.5760 4.5760
angles: 60.00 60.00 60.00
Fractional positions:
Tl (0.0000, 0.0000, 0.0000)
Cu (0.2500, 0.2500, 0.2500)
W (0.5000, 0.5000, 0.5000)
W (0.7500, 0.7500, 0.7500)

Computed properties:
Polymorph energy (0 for the lowest one) (eV/atom): 0.3181
Energy (eV per atom): -7.225
ΔH_f (0 K) (kJ per mole of atoms): 83.66

No. 8
First-principles (GGA-PBE) data for a relaxed Nd6CdGa2 crystal, as listed in the Alexandria database.

abc: 8.9466 8.9466 5.1302
angles: 106.47 106.47 48.69
Fractional positions:
Nd (0.0753, 0.5843, 0.3295)
Nd (0.2373, 0.7627, 0.0000)
Nd (0.4157, 0.9247, 0.6705)
Nd (0.5843, 0.0753, 0.3295)
Nd (0.7627, 0.2373, 0.0000)
Nd (0.9247, 0.4157, 0.6705)
Cd (0.5000, 0.5000, 0.5000)
Ga (0.1681, 0.1681, 0.1685)
Ga (0.8319, 0.8319, 0.8315)

Computed properties:
Polymorph energy (0 for the lowest one) (eV/atom): 0.1916
Energy (eV per atom): -4.081
ΔH_f (0 K) (kJ per mole of atoms): -12.41